Entry 1:
The following is a PBE calculation of crystalline Nb2ZnCo6 at its relaxed geometry, from Alexandria via LeMat-Bulk.

Cell lengths 4.9247, 4.9247, 5.4746 Å; angles 90.00, 90.00, 120.00 degrees
Last column: nearest neighbours and their distance in Å.
Element x y z (fractional)
Nb1 0.3333 0.6667 0.3477  6 Co 2.66, 3 Zn 2.96
Nb2 0.6667 0.3333 0.6523  6 Co 2.66, 3 Zn 2.96
Zn1 0.0000 0.0000 0.5000  6 Co 2.38
Co1 0.1772 0.3543 0.8351  4 Co 2.31-2.35, 1 Zn 2.38
Co2 0.1772 0.8228 0.8351  4 Co 2.31-2.35, 1 Zn 2.38
Co3 0.3543 0.1772 0.1649  4 Co 2.31-2.35, 1 Zn 2.38
Co4 0.6457 0.8228 0.8351  4 Co 2.31-2.35, 1 Zn 2.38
Co5 0.8228 0.1772 0.1649  4 Co 2.31-2.35, 1 Zn 2.38
Co6 0.8228 0.6457 0.1649  4 Co 2.31-2.35, 1 Zn 2.38

Calculated values
**Fermi-level density of states**: 1.1073 states/eV per atom
**Energy of formation**: 0.017 eV/atom
**E_tot**: -7.10 eV per atom


Entry 2:
The following is a PBE calculation of crystalline Li4LaCl at its relaxed geometry, from Alexandria via LeMat-Bulk.

Cell lengths 5.8741, 5.8741, 5.8741 Å; angles 60.00, 60.00, 60.00 degrees
Last column: nearest neighbours and their distance in Å.
Element x y z (fractional)
Li1 0.1238 0.1238 0.1238  6 Li 2.91-2.96
Li2 0.1238 0.1238 0.6285  6 Li 2.91-2.96
Li3 0.1238 0.6285 0.1238  6 Li 2.91-2.96
Li4 0.6285 0.1238 0.1238  6 Li 2.91-2.96
La1 0.5000 0.5000 0.5000  12 Li 3.45, 4 Cl 3.60
Cl1 0.7500 0.7500 0.7500  12 Li 3.44, 4 La 3.60

Calculated values
**Fermi-level density of states**: 0.6460 states/eV per atom
**Raw formation energy**: -5.90 kJ per mole of atoms
**E_tot**: -2.47 eV per atom


Entry 3:
The following is a PBE calculation of crystalline MgTcAs2Br at its relaxed geometry, from Alexandria via LeMat-Bulk.

Cell lengths 5.1986, 5.1986, 4.6197 Å; angles 90.00, 90.00, 90.00 degrees
Last column: nearest neighbours and their distance in Å.
Element x y z (fractional)
Mg1 0.0000 0.0000 0.0000  8 As 3.48, 4 Tc 3.68
Tc1 0.5000 0.5000 0.0000  2 Br 2.31
As1 0.0000 0.5000 0.5000  2 Br 2.60
As2 0.5000 0.0000 0.5000  2 Br 2.60
Br1 0.5000 0.5000 0.5000  2 Tc 2.31

Calculated values
**Fermi-level density of states**: 1.1159 states/eV per atom
**Raw formation energy**: 123.77 kJ per mole of atoms
**E_tot**: -3.30 eV per atom


Entry 4:
The following is a PBE calculation of crystalline CaTcSe2 at its relaxed geometry, from Alexandria via LeMat-Bulk.

Cell lengths 6.6886, 6.6886, 6.6886 Å; angles 90.00, 90.00, 90.00 degrees
Last column: nearest neighbours and their distance in Å.
Element x y z (fractional)
Ca1 0.0000 0.0000 0.0000  8 Se 2.90
Ca2 0.0000 0.5000 0.5000  8 Se 2.90
Ca3 0.5000 0.0000 0.5000  8 Se 2.90
Ca4 0.5000 0.5000 0.0000  8 Se 2.90
Tc1 0.0000 0.0000 0.5000  8 Se 2.90
Tc2 0.0000 0.5000 0.0000  8 Se 2.90
Tc3 0.5000 0.0000 0.0000  8 Se 2.90
Tc4 0.5000 0.5000 0.5000  8 Se 2.90
Se1 0.2500 0.2500 0.2500  4 Tc 2.90, 4 Ca 2.90
Se2 0.2500 0.2500 0.7500  4 Tc 2.90, 4 Ca 2.90
Se3 0.2500 0.7500 0.2500  4 Tc 2.90, 4 Ca 2.90
Se4 0.2500 0.7500 0.7500  4 Tc 2.90, 4 Ca 2.90
Se5 0.7500 0.2500 0.2500  4 Tc 2.90, 4 Ca 2.90
Se6 0.7500 0.2500 0.7500  4 Tc 2.90, 4 Ca 2.90
Se7 0.7500 0.7500 0.2500  4 Tc 2.90, 4 Ca 2.90
Se8 0.7500 0.7500 0.7500  4 Tc 2.90, 4 Ca 2.90

Calculated values
**Fermi-level density of states**: 0.6847 states/eV per atom
**Raw formation energy**: -44.94 kJ per mole of atoms
**E_tot**: -5.30 eV per atom


Entry 5:
The following is a PBE calculation of crystalline TlAgSn2Cl6 at its relaxed geometry, from Alexandria via LeMat-Bulk.

Cell lengths 7.0177, 7.6564, 7.6907 Å; angles 64.84, 65.38, 64.86 degrees
Last column: nearest neighbours and their distance in Å.
Element x y z (fractional)
Tl1 0.0000 0.0000 0.0000  6 Cl 3.17-3.40
Ag1 0.5434 0.4762 0.5157  4 Cl 2.67-2.81
Sn1 0.2081 0.3769 0.2230  3 Cl 2.62-2.68
Sn2 0.7186 0.8598 0.6970  3 Cl 2.59-2.66
Cl1 0.1916 0.6256 0.3834  1 Sn 2.62, 1 Ag 2.67
Cl2 0.4276 0.1241 0.8777  1 Sn 2.59
Cl3 0.4376 0.6642 0.7879  1 Sn 2.66, 1 Ag 2.71
Cl4 0.6028 0.1032 0.3736  1 Sn 2.60
Cl5 0.8274 0.6205 0.1404  1 Sn 2.68, 1 Ag 2.81
Cl6 0.9496 0.2031 0.5586  1 Sn 2.64, 1 Ag 2.78

Calculated values
**Fermi-level density of states**: 0.0000 states/eV per atom
**Raw formation energy**: -85.83 kJ per mole of atoms
**E_tot**: -3.32 eV per atom


Entry 6:
The following is a PBE calculation of crystalline Mo2PdPt2 at its relaxed geometry, from Alexandria via LeMat-Bulk.

Cell lengths 5.3325, 5.3325, 7.1505 Å; angles 108.68, 108.68, 54.66 degrees
Last column: nearest neighbours and their distance in Å.
Element x y z (fractional)
Mo1 0.0522 0.7406 0.5380  3 Mo 2.69-2.96, 6 Pt 2.70-2.84, 3 Pd 2.73-2.89
Mo2 0.2594 0.9478 0.9620  3 Mo 2.69-2.96, 6 Pt 2.70-2.84, 3 Pd 2.73-2.89
Mo3 0.7406 0.0522 0.0380  3 Mo 2.69-2.96, 6 Pt 2.70-2.84, 3 Pd 2.73-2.89
Mo4 0.9478 0.2594 0.4620  3 Mo 2.69-2.96, 6 Pt 2.70-2.84, 3 Pd 2.73-2.89
Pd1 0.3368 0.6632 0.2500  6 Mo 2.73-2.89, 6 Pt 2.75-2.84
Pd2 0.6632 0.3368 0.7500  6 Mo 2.73-2.89, 6 Pt 2.75-2.84
Pt1 0.1344 0.4787 0.8519  6 Mo 2.70-2.84, 3 Pd 2.75-2.84, 3 Pt 2.80-2.85
Pt2 0.4787 0.1344 0.3519  6 Mo 2.70-2.84, 3 Pd 2.75-2.84, 3 Pt 2.80-2.85
Pt3 0.5213 0.8656 0.6481  6 Mo 2.70-2.84, 3 Pd 2.75-2.84, 3 Pt 2.80-2.85
Pt4 0.8656 0.5213 0.1481  6 Mo 2.70-2.84, 3 Pd 2.75-2.84, 3 Pt 2.80-2.85

Calculated values
**Fermi-level density of states**: 0.9462 states/eV per atom
**Energy of formation**: -0.193 eV/atom
**E_tot**: -7.98 eV per atom


Entry 7:
The following is a PBE calculation of crystalline SmTm2S4 at its relaxed geometry, from Alexandria via LeMat-Bulk.

Cell lengths 11.8806, 3.8267, 13.9247 Å; angles 90.00, 90.00, 90.00 degrees
Last column: nearest neighbours and their distance in Å.
Element x y z (fractional)
Sm1 0.2492 0.2500 0.1693  7 S 2.89-2.97
Sm2 0.2508 0.7500 0.6693  7 S 2.89-2.97
Sm3 0.7492 0.2500 0.3307  7 S 2.89-2.97
Sm4 0.7508 0.7500 0.8307  7 S 2.89-2.97
Tm1 0.0605 0.2500 0.3871  6 S 2.67-2.72
Tm2 0.0945 0.2500 0.9065  6 S 2.64-2.75
Tm3 0.4055 0.7500 0.4065  6 S 2.64-2.75
Tm4 0.4395 0.7500 0.8871  6 S 2.67-2.72
Tm5 0.5605 0.2500 0.1129  6 S 2.67-2.72
Tm6 0.5945 0.2500 0.5935  6 S 2.64-2.75
Tm7 0.9055 0.7500 0.0935  6 S 2.64-2.75
Tm8 0.9395 0.7500 0.6129  6 S 2.67-2.72
S1 0.0420 0.7500 0.7834  3 Tm 2.64-2.67, 1 Sm 2.95
S2 0.0971 0.2500 0.5769  3 Tm 2.68-2.72, 2 Sm 2.94
S3 0.1288 0.7500 0.0421  3 Tm 2.72-2.75, 2 Sm 2.97
S4 0.1995 0.7500 0.3189  3 Tm 2.70-2.73, 2 Sm 2.89
S5 0.3005 0.2500 0.8189  3 Tm 2.70-2.73, 2 Sm 2.89
S6 0.3712 0.2500 0.5421  3 Tm 2.72-2.75, 2 Sm 2.97
S7 0.4029 0.7500 0.0769  3 Tm 2.68-2.72, 2 Sm 2.94
S8 0.4580 0.2500 0.2834  3 Tm 2.64-2.67, 1 Sm 2.95
S9 0.5420 0.7500 0.7166  3 Tm 2.64-2.67, 1 Sm 2.95
S10 0.5971 0.2500 0.9231  3 Tm 2.68-2.72, 2 Sm 2.94
S11 0.6288 0.7500 0.4579  3 Tm 2.72-2.75, 2 Sm 2.97
S12 0.6995 0.7500 0.1811  3 Tm 2.70-2.73, 2 Sm 2.89
S13 0.8005 0.2500 0.6811  3 Tm 2.70-2.73, 2 Sm 2.89
S14 0.8712 0.2500 0.9579  3 Tm 2.72-2.75, 2 Sm 2.97
S15 0.9029 0.7500 0.4231  3 Tm 2.68-2.72, 2 Sm 2.94
S16 0.9580 0.2500 0.2166  3 Tm 2.64-2.67, 1 Sm 2.95

Calculated values
**Fermi-level density of states**: 0.2815 states/eV per atom
**Raw formation energy**: -197.04 kJ per mole of atoms
**E_tot**: -6.35 eV per atom


Entry 8:
The following is a PBE calculation of crystalline MgTl2P at its relaxed geometry, from Alexandria via LeMat-Bulk.

Cell lengths 3.6239, 3.8940, 14.6939 Å; angles 90.00, 90.00, 90.00 degrees
Last column: nearest neighbours and their distance in Å.
Element x y z (fractional)
Mg1 0.0000 0.0000 0.0000  4 P 2.66
Mg2 0.5000 0.5000 0.5000  4 P 2.66
Tl1 0.0000 0.5000 0.1744  2 P 3.14, 2 Mg 3.22, 4 Tl 3.46
Tl2 0.0000 0.5000 0.8256  2 P 3.14, 2 Mg 3.22, 4 Tl 3.46
Tl3 0.5000 0.0000 0.3256  2 P 3.14, 2 Mg 3.22, 4 Tl 3.46
Tl4 0.5000 0.0000 0.6744  2 P 3.14, 2 Mg 3.22, 4 Tl 3.46
P1 0.0000 0.0000 0.5000  4 Mg 2.66
P2 0.5000 0.5000 0.0000  4 Mg 2.66

Calculated values
**Fermi-level density of states**: 0.5543 states/eV per atom
**Energy of formation**: -0.070 eV/atom
**E_tot**: -3.00 eV per atom


Entry 9:
The following is a PBE calculation of crystalline Cr2ReRh at its relaxed geometry, from Alexandria via LeMat-Bulk.

Cell lengths 8.6908, 2.6543, 4.6858 Å; angles 90.00, 99.84, 90.00 degrees
Last column: nearest neighbours and their distance in Å.
Element x y z (fractional)
Cr1 0.2465 0.0000 0.2463  3 Rh 2.62-2.66, 3 Re 2.62-2.67, 6 Cr 2.65-2.71
Cr2 0.2535 0.5000 0.7537  3 Rh 2.62-2.66, 3 Re 2.62-2.67, 6 Cr 2.65-2.71
Cr3 0.7465 0.5000 0.2463  3 Rh 2.62-2.66, 3 Re 2.62-2.67, 6 Cr 2.65-2.71
Cr4 0.7535 0.0000 0.7537  3 Rh 2.62-2.66, 3 Re 2.62-2.67, 6 Cr 2.65-2.71
Re1 0.0000 0.0000 0.5000  6 Cr 2.62-2.67, 2 Re 2.65, 4 Rh 2.69
Re2 0.5000 0.5000 0.5000  6 Cr 2.62-2.67, 2 Re 2.65, 4 Rh 2.69
Rh1 0.0000 0.5000 0.0000  6 Cr 2.62-2.66, 2 Rh 2.65, 4 Re 2.69
Rh2 0.5000 0.0000 0.0000  6 Cr 2.62-2.66, 2 Rh 2.65, 4 Re 2.69

Calculated values
**Fermi-level density of states**: 1.0762 states/eV per atom
**Energy of formation**: 0.107 eV/atom
**E_tot**: -9.65 eV per atom


Entry 10:
The following is a PBE calculation of crystalline Cs2AsBrF6 at its relaxed geometry, from Alexandria via LeMat-Bulk.

Cell lengths 18.6754, 18.6754, 18.6754 Å; angles 17.26, 17.26, 17.26 degrees
Last column: nearest neighbours and their distance in Å.
Element x y z (fractional)
Cs1 0.1178 0.1178 0.1178  6 F 3.27
Cs2 0.2851 0.2851 0.2851  6 F 3.25
Cs3 0.7149 0.7149 0.7149  6 F 3.25
Cs4 0.8822 0.8822 0.8822  6 F 3.27
As1 0.0000 0.0000 0.0000  6 F 1.78
As2 0.5000 0.5000 0.5000  6 F 1.78
Br1 0.4161 0.4161 0.4161  6 Cs 3.75-3.77, 6 F 3.89-3.96
Br2 0.5839 0.5839 0.5839  6 Cs 3.75-3.77, 6 F 3.89-3.96
F1 0.1676 0.1676 0.7208  1 As 1.78
F2 0.1676 0.7208 0.1676  1 As 1.78
F3 0.1828 0.6307 0.6307  1 As 1.78
F4 0.2792 0.8324 0.8324  1 As 1.78
F5 0.3693 0.3693 0.8172  1 As 1.78
F6 0.3693 0.8172 0.3693  1 As 1.78
F7 0.6307 0.1828 0.6307  1 As 1.78
F8 0.6307 0.6307 0.1828  1 As 1.78
F9 0.7208 0.1676 0.1676  1 As 1.78
F10 0.8172 0.3693 0.3693  1 As 1.78
F11 0.8324 0.2792 0.8324  1 As 1.78
F12 0.8324 0.8324 0.2792  1 As 1.78

Calculated values
**Fermi-level density of states**: 0.0000 states/eV per atom
**Raw formation energy**: -222.61 kJ per mole of atoms
**E_tot**: -4.23 eV per atom